(1)
DFT (PBE-GGA) results for a relaxed Ca2BRh crystal.

Structure (POSCAR):
```
Ca2BRh
1.0
4.819 0.000 0.000
-2.409 4.173 0.000
0.000 0.000 4.123
Ca B Rh
2 1 1
direct
0.333 0.667 0.231 Ca
0.667 0.333 0.769 Ca
0.000 0.000 0.000 B
0.000 0.000 0.500 Rh
```

Results
Space-group type = P-3m1
E_form = -0.32 eV per atom
Calculated density = 3.9 g/cm3
Crystal system = trigonal



(2)
DFT (PBE-GGA) results for a relaxed K2Na2Mg crystal.

Structure (POSCAR):
```
K2Na2Mg
1.0
8.703 0.000 0.000
0.000 8.703 0.000
0.000 0.000 6.169
K Na Mg
4 4 2
direct
0.183 0.317 0.000 K
0.317 0.817 0.000 K
0.683 0.183 0.000 K
0.817 0.683 0.000 K
0.140 0.640 0.500 Na
0.360 0.140 0.500 Na
0.640 0.860 0.500 Na
0.860 0.360 0.500 Na
0.000 0.000 0.500 Mg
0.500 0.500 0.500 Mg
```

Results
Space-group type = P4/mbm
E_form = 0.13 eV per atom
Calculated density = 1.1 g/cm3
Offset from the most stable computed form = 0 meV per atom
Crystal system = tetragonal



(3)
DFT (PBE-GGA) results for a relaxed RbLi2Hg10 crystal.

Structure (POSCAR):
```
RbLi2Hg10
1.0
0.000 6.813 8.330
3.051 0.000 8.330
3.051 6.813 0.000
Rb Li Hg
1 2 10
direct
0.000 0.000 0.000 Rb
0.000 0.500 0.000 Li
0.500 0.000 0.500 Li
0.000 0.000 0.500 Hg
0.020 0.339 0.661 Hg
0.262 0.488 0.512 Hg
0.339 0.020 0.980 Hg
0.488 0.262 0.738 Hg
0.500 0.500 0.000 Hg
0.512 0.738 0.262 Hg
0.661 0.980 0.020 Hg
0.738 0.512 0.488 Hg
0.980 0.661 0.339 Hg
```

Results
Space-group type = Fmmm
E_form = -0.17 eV per atom
Calculated density = 10.1 g/cm3
Crystal system = orthorhombic



(4)
DFT (PBE-GGA) results for a relaxed RbVPS2 crystal.

Structure (POSCAR):
```
RbVPS2
1.0
5.550 0.000 0.000
0.000 5.550 0.000
0.000 0.000 5.344
Rb V P S
1 1 1 2
direct
0.000 0.000 0.000 Rb
0.500 0.500 0.500 V
0.000 0.000 0.500 P
0.000 0.500 0.000 S
0.500 0.000 0.000 S
```

Results
Space-group type = P4/mmm
Calculated density = 2.3 g/cm3
Offset from the most stable computed form = 2212 meV per atom
Crystal system = tetragonal